A plane-wave DFT calculation with PBE-GGA was carried out for Pu2Si4Ru5 after structural relaxation.

## Properties
The energy comes out at -9.3704 eV per atom. The value obtained for the uncorrected formation energy is -55.61 kJ/mol of atoms. As for the crystal system: orthorhombic. The space group is Fmmm, No. 69.

Cell and atoms, written as POSCAR:
```
Pu2Si4Ru5
1.0
-4.1898 -2.7796 2.9578
-1.2650 -5.5351 -1.2410
2.2234 -3.3378 5.7652
Pu Si Ru
2 4 5
Direct
0.8777 0.0000 0.2445
0.1223 0.0000 0.7555
0.4885 0.2950 0.7280
0.5115 0.7050 0.2720
0.2165 0.2950 0.2720
0.7835 0.7050 0.7280
0.5000 0.0000 0.0000
0.0000 0.5000 0.0000
0.5000 0.5000 0.0000
0.2500 0.5000 0.5000
0.7500 0.5000 0.5000
```